# 1
A relaxed HgBRhI2 crystal. Source: Alexandria via LeMat-Bulk, functional PBE.

Properties
**D(E_F)**: 3.576 states/eV/f.u.
**Formation energy without anion corrections**: 1077 meV/atom
**Magnetic moment**: 0.00 μB/f.u.
**DFT total energy**: -12.048 eV for the cell shown
**SG**: P4/mmm, No. 123

Cell lengths 5.413, 5.253, 5.413 Å; angles 90.00, 90.00, 90.00 degrees
Element x y z (fractional)
1 I 0.000 0.000 0.500
2 I 0.500 0.000 0.000
3 B 0.500 0.500 0.500
4 Rh 0.000 0.000 0.000
5 Hg 0.000 0.500 0.000

***

# 2
A relaxed HgBRu2I crystal. Source: Alexandria via LeMat-Bulk, functional PBE.

Properties
**D(E_F)**: 8.008 states/eV/f.u.
**Formation energy without anion corrections**: 1971 meV/atom
**Magnetic moment**: 4.01 μB/f.u.
**DFT total energy**: -17.225 eV for the cell shown
**SG**: P4/mmm, No. 123

Cell lengths 5.244, 4.025, 5.244 Å; angles 90.00, 90.00, 90.00 degrees
Site moments in Bohr magnetons follow the coordinates.
Element x y z (fractional)
1 I 0.500 0.500 0.500  0.08
2 Ru 0.000 0.000 0.500  1.96
3 Ru 0.500 0.000 0.000  1.81
4 B 0.000 0.500 0.000  0.00
5 Hg 0.000 0.000 0.000  0.00

***

# 3
A relaxed HgBSbI2 crystal. Source: Alexandria via LeMat-Bulk, functional PBE.

Properties
**D(E_F)**: 2.001 states/eV/f.u.
**Formation energy without anion corrections**: 685 meV/atom
**Magnetic moment**: 0.00 μB/f.u.
**Energy relative to the lowest polymorph listed for this composition**: 0.00 kcal/mol of atoms
**DFT total energy**: -10.777 eV for the cell shown
**SG**: P4/mmm, No. 123

Cell lengths 5.501, 5.501, 4.679 Å; angles 90.00, 90.00, 90.00 degrees
Element x y z (fractional)
1 I 0.000 0.500 0.000
2 I 0.500 0.000 0.000
3 Sb 0.000 0.000 0.500
4 B 0.000 0.000 0.000
5 Hg 0.500 0.500 0.500

***

# 4
A relaxed HgBSbI2 crystal. Source: Alexandria via LeMat-Bulk, functional PBE.

Properties
**D(E_F)**: 3.781 states/eV/f.u.
**Formation energy without anion corrections**: 1364 meV/atom
**Magnetic moment**: 1.15 μB/f.u.
**Energy relative to the lowest polymorph listed for this composition**: 15.66 kcal/mol of atoms
**DFT total energy**: -7.382 eV for the cell shown
**SG**: P4/mmm, No. 123

Cell lengths 5.985, 5.985, 5.613 Å; angles 90.00, 90.00, 90.00 degrees
Site moments in Bohr magnetons follow the coordinates.
Element x y z (fractional)
1 I 0.000 0.500 0.000  0.05
2 I 0.500 0.000 0.000  0.05
3 Sb 0.000 0.000 0.500  0.40
4 B 0.500 0.500 0.500  -0.01
5 Hg 0.000 0.000 0.000  0.00

***

Copy entry 4 word for word.
A relaxed HgBSbI2 crystal. Source: Alexandria via LeMat-Bulk, functional PBE.

Properties
**D(E_F)**: 3.781 states/eV/f.u.
**Formation energy without anion corrections**: 1364 meV/atom
**Magnetic moment**: 1.15 μB/f.u.
**Energy relative to the lowest polymorph listed for this composition**: 15.66 kcal/mol of atoms
**DFT total energy**: -7.382 eV for the cell shown
**SG**: P4/mmm, No. 123

Cell lengths 5.985, 5.985, 5.613 Å; angles 90.00, 90.00, 90.00 degrees
Site moments in Bohr magnetons follow the coordinates.
Element x y z (fractional)
1 I 0.000 0.500 0.000  0.05
2 I 0.500 0.000 0.000  0.05
3 Sb 0.000 0.000 0.500  0.40
4 B 0.500 0.500 0.500  -0.01
5 Hg 0.000 0.000 0.000  0.00